Entry from Alexandria: a relaxed Li2AsAu crystal (PBE).

Cell and atoms, written as POSCAR:
```
Li2AsAu
1.0
5.644 0.000 0.000
0.000 4.954 -1.106
0.000 0.216 5.072
Li As Au
4 2 2
direct
0.750 0.979 0.351 Li
0.250 0.021 0.649 Li
0.250 0.649 0.021 Li
0.750 0.351 0.979 Li
0.250 0.176 0.176 As
0.750 0.824 0.824 As
0.500 0.500 0.500 Au
0.000 0.500 0.500 Au
```

Values from the calculation:
E = -3.51 eV/atom
Formation energy = -0.575 eV/atom
Space group = Cmcm, No. 63



Entry from Alexandria: a relaxed CePmCoTc crystal (PBE).

Cell and atoms, written as POSCAR:
```
CePmCoTc
1.0
4.875 0.000 0.000
2.437 4.222 0.000
2.437 1.407 3.980
Co Tc Ce Pm
1 1 1 1
direct
0.250 0.250 0.250 Co
0.750 0.750 0.750 Tc
0.000 0.000 0.000 Ce
0.500 0.500 0.500 Pm
```

Values from the calculation:
E = -6.96 eV/atom
Formation energy = 0.074 eV/atom
Space group = F-43m, No. 216



Entry from Alexandria: a relaxed Pu2MgOs crystal (PBE).

Cell and atoms, written as POSCAR:
```
Pu2MgOs
1.0
-2.580 -1.911 2.604
0.082 -3.662 -2.606
3.511 -1.575 2.323
Mg Os Pu
1 1 2
direct
0.500 0.000 0.000 Mg
0.500 0.500 0.500 Os
0.000 0.000 0.500 Pu
0.000 0.500 0.000 Pu
```

Values from the calculation:
E = -10.22 eV/atom
Formation energy = 0.156 eV/atom
Space group = P4/mmm, No. 123